(1)
Sc2Ga2Re | PBE-GGA | optimized geometry

Unit cell a=7.1040 b=7.1040 c=3.8137 alpha=90.00 beta=90.00 gamma=90.00
Space group P4/mbm (No. 127)
Unique sites:
Sc1 0.1627 0.3373 0.0000 [4 per cell]
Ga1 0.1437 0.6437 0.5000 [4 per cell]
Re1 0.0000 0.0000 0.0000 [2 per cell]

The value obtained for the total magnetization is 0.00 μB/atom. Its energy relative to the lowest polymorph listed for this composition is 2.813 eV per formula unit. Its uncorrected energy is -60.11 eV for the cell shown. The energy relative to the elements comes out at 222 meV/atom.



(2)
ScTiGaRe | PBE-GGA | optimized geometry

Unit cell a=6.4183 b=6.4183 c=6.4183 alpha=90.00 beta=90.00 gamma=90.00
Space group F-43m (No. 216)
Unique sites:
Sc1 0.0000 0.0000 0.0000 [4 per cell]
Ti1 0.0000 0.0000 0.5000 [4 per cell]
Ga1 0.2500 0.2500 0.7500 [4 per cell]
Re1 0.2500 0.2500 0.2500 [4 per cell]

The value obtained for the total magnetization is 0.00 μB/atom. Its uncorrected energy is -124.60 eV for the cell shown. The energy relative to the elements comes out at -362 meV/atom.



(3)
ScVGaRe | PBE-GGA | optimized geometry

Unit cell a=6.3052 b=6.3052 c=6.3052 alpha=90.00 beta=90.00 gamma=90.00
Space group F-43m (No. 216)
Unique sites:
Sc1 0.0000 0.0000 0.0000 [4 per cell]
V1 0.0000 0.0000 0.5000 [4 per cell]
Ga1 0.2500 0.2500 0.7500 [4 per cell]
Re1 0.2500 0.2500 0.2500 [4 per cell]

The value obtained for the total magnetization is 0.00 μB/atom. Its uncorrected energy is -127.10 eV for the cell shown. The energy relative to the elements comes out at -212 meV/atom.



(4)
GaRe4Se8 | PBE-GGA | optimized geometry

Unit cell a=6.4480 b=6.4480 c=24.7509 alpha=90.00 beta=90.00 gamma=120.00
Space group R-3m (No. 166, hexagonal axes)
Unique sites:
Ga1 0.0000 0.0000 0.0000 [3 per cell]
Re1 0.0000 0.0000 0.5000 [3 per cell]
Re2 0.0000 0.5000 0.5000 [9 per cell]
Se1 0.0000 0.0000 0.2383 [6 per cell]
Se2 0.0010 0.5005 0.2377 [18 per cell]

The value obtained for the total magnetization is 0.00 μB/atom. The energy relative to the elements, uncorrected is 0.25 eV/f.u. Its uncorrected energy is -241.33 eV for the cell shown.



(5)
GaReSe2 | PBE-GGA | optimized geometry

Unit cell a=6.4016 b=6.4016 c=10.3197 alpha=90.00 beta=90.00 gamma=90.00
Space group I-42d (No. 122)
Unique sites:
Ga1 0.0000 0.0000 0.0000 [4 per cell]
Re1 0.0000 0.0000 0.5000 [4 per cell]
Se1 0.1911 0.2500 0.6250 [8 per cell]

The value obtained for the total magnetization is 0.00 μB/atom. The energy relative to the elements, uncorrected is 1.04 eV/f.u. Its uncorrected energy is -85.62 eV for the cell shown.



(6)
Ga3ReSe | PBE-GGA | optimized geometry

Unit cell a=4.9144 b=4.9144 c=4.9144 alpha=90.00 beta=90.00 gamma=90.00
Space group Pm-3m (No. 221)
Unique sites:
Ga1 0.0000 0.0000 0.5000 [3 per cell]
Re1 0.5000 0.5000 0.5000 [1 per cell]
Se1 0.0000 0.0000 0.0000 [1 per cell]

The value obtained for the total magnetization is 0.63 μB/atom. Its energy relative to the lowest polymorph listed for this composition is 4.521 eV per formula unit. The energy relative to the elements, uncorrected is 6.95 eV/f.u. Its uncorrected energy is -18.06 eV for the cell shown.



(7)
Ga3ReSe | PBE-GGA | optimized geometry

Unit cell a=4.9164 b=4.9164 c=4.9164 alpha=90.00 beta=90.00 gamma=90.00
Space group Pm-3m (No. 221)
Unique sites:
Ga1 0.0000 0.0000 0.5000 [3 per cell]
Re1 0.0000 0.0000 0.0000 [1 per cell]
Se1 0.5000 0.5000 0.5000 [1 per cell]

The value obtained for the total magnetization is 0.33 μB/atom. Its energy relative to the lowest polymorph listed for this composition is 0.000 eV per formula unit. The energy relative to the elements, uncorrected is 2.43 eV/f.u. Its uncorrected energy is -22.58 eV for the cell shown.



(8)
GaReSe2 | PBE-GGA | optimized geometry

Unit cell a=3.4126 b=3.4126 c=23.9126 alpha=90.00 beta=90.00 gamma=120.00
Space group R-3m (No. 166, hexagonal axes)
Unique sites:
Ga1 0.0000 0.0000 0.0000 [3 per cell]
Re1 0.0000 0.0000 0.5000 [3 per cell]
Se1 0.0000 0.0000 0.4008 [6 per cell]

The value obtained for the total magnetization is 0.00 μB/atom. The energy relative to the elements, uncorrected is 2.28 eV/f.u. Its uncorrected energy is -60.50 eV for the cell shown.



(9)
GaReSe2 | PBE-GGA | optimized geometry

Unit cell a=3.1629 b=3.1629 c=28.9157 alpha=90.00 beta=90.00 gamma=120.00
Space group R-3m (No. 166, hexagonal axes)
Unique sites:
Ga1 0.0000 0.0000 0.0000 [3 per cell]
Re1 0.0000 0.0000 0.5000 [3 per cell]
Se1 0.0000 0.0000 0.1047 [6 per cell]

The value obtained for the total magnetization is 0.00 μB/atom. The energy relative to the elements, uncorrected is 0.24 eV/f.u. Its uncorrected energy is -66.63 eV for the cell shown.



(10)
Ga2ReSe | PBE-GGA | optimized geometry

Unit cell a=5.9167 b=5.9167 c=11.4341 alpha=90.00 beta=90.00 gamma=90.00
Space group I-42d (No. 122)
Unique sites:
Ga1 0.2346 0.2500 0.1250 [8 per cell]
Re1 0.0000 0.0000 0.0000 [4 per cell]
Se1 0.0000 0.0000 0.5000 [4 per cell]

The value obtained for the total magnetization is 0.26 μB/atom. The energy relative to the elements, uncorrected is 2.99 eV/f.u. Its uncorrected energy is -75.99 eV for the cell shown.



(11)
GaRe4Se7 | PBE-GGA | optimized geometry

Unit cell a=15.5071 b=7.2215 c=5.0787 alpha=90.00 beta=90.00 gamma=90.00
Space group Pmn2_1 (No. 31)
Unique sites:
Ga1 0.0000 0.0618 0.0000 [2 per cell]
Re1 0.0940 0.5942 0.5030 [4 per cell]
Re2 0.2423 0.4355 0.3145 [4 per cell]
Se1 0.0000 0.8695 0.4752 [2 per cell]
Se2 0.1075 0.2689 0.3873 [4 per cell]
Se3 0.1115 0.6616 0.9703 [4 per cell]
Se4 0.2301 0.7769 0.4391 [4 per cell]

The value obtained for the total magnetization is 0.00 μB/atom. The energy relative to the elements, uncorrected is -0.33 eV/f.u. Its uncorrected energy is -155.07 eV for the cell shown.



(12)
Ta2GaRe2Se8 | PBE-GGA | optimized geometry

Unit cell a=3.4598 b=3.4598 c=28.1860 alpha=90.00 beta=90.00 gamma=120.00
Space group P3m1 (No. 156)
Unique sites:
Ta1 0.0000 0.0000 0.0000 [1 per cell]
Ta2 0.0000 0.0000 0.4680 [1 per cell]
Ga1 0.0000 0.0000 0.6021 [1 per cell]
Re1 0.0000 0.0000 0.2310 [1 per cell]
Re2 0.0000 0.0000 0.7712 [1 per cell]
Se1 0.3333 0.6667 0.0595 [1 per cell]
Se2 0.3333 0.6667 0.4085 [1 per cell]
Se3 0.3333 0.6667 0.5289 [1 per cell]
Se4 0.3333 0.6667 0.9405 [1 per cell]
Se5 0.6667 0.3333 0.1757 [1 per cell]
Se6 0.6667 0.3333 0.2862 [1 per cell]
Se7 0.6667 0.3333 0.7163 [1 per cell]
Se8 0.6667 0.3333 0.8265 [1 per cell]

The value obtained for the total magnetization is 0.02 μB/atom. The energy relative to the elements, uncorrected is -5.32 eV/f.u. Its uncorrected energy is -84.83 eV for the cell shown.